Entry 1:
DyGe3Rh5 (PBE, optimized geometry); E_form = -0.540 eV per atom; calculated density = 9.52 g/cm3; V = 17.34 A^3/atom
1.0
1.958 -6.410 0.000
1.958 6.410 0.000
0.000 0.000 12.435
Dy Ge Rh
2 6 10
direct
0.140 0.860 0.750
0.860 0.140 0.250
0.118 0.882 0.250
0.380 0.620 0.043
0.380 0.620 0.457
0.620 0.380 0.543
0.620 0.380 0.957
0.882 0.118 0.750
0.000 0.000 0.000
0.000 0.000 0.500
0.199 0.801 0.073
0.199 0.801 0.427
0.454 0.546 0.645
0.454 0.546 0.855
0.546 0.454 0.145
0.546 0.454 0.355
0.801 0.199 0.573
0.801 0.199 0.927

---

Entry 2:
Dy2Ge3Rh2 (PBE, optimized geometry); E_form = -0.867 eV per atom; calculated density = 9.43 g/cm3; V = 18.84 A^3/atom
1.0
2.048 -9.039 0.000
2.048 9.039 0.000
0.000 0.000 7.124
Dy Ge Rh
4 6 4
direct
0.058 0.942 0.750
0.159 0.841 0.250
0.841 0.159 0.750
0.942 0.058 0.250
0.223 0.777 0.750
0.437 0.563 0.568
0.437 0.563 0.932
0.563 0.437 0.068
0.563 0.437 0.432
0.777 0.223 0.250
0.307 0.693 0.049
0.307 0.693 0.451
0.693 0.307 0.549
0.693 0.307 0.951

---

Entry 3:
Dy2Ge2SbRh5 (PBE, optimized geometry); calculated density = 10.48 g/cm3; energy relative to the elements, uncorrected = -0.79 eV/atom; V = 17.54 A^3/atom
1.0
9.795 0.000 0.000
0.000 9.795 0.000
0.000 0.000 3.656
Dy Ge Sb Rh
4 4 2 10
direct
0.176 0.324 0.000
0.324 0.824 0.000
0.676 0.176 0.000
0.824 0.676 0.000
0.122 0.622 0.000
0.378 0.122 0.000
0.622 0.878 0.000
0.878 0.378 0.000
0.000 0.000 0.000
0.500 0.500 0.000
0.000 0.500 0.500
0.069 0.789 0.500
0.211 0.069 0.500
0.289 0.569 0.500
0.431 0.289 0.500
0.500 0.000 0.500
0.569 0.711 0.500
0.711 0.431 0.500
0.789 0.931 0.500
0.931 0.211 0.500

---

Entry 4:
DyScGeRh (PBE, optimized geometry); E_form = -0.747 eV per atom; calculated density = 8.08 g/cm3; V = 19.69 A^3/atom
1.0
0.000 3.402 3.402
3.402 0.000 3.402
3.402 3.402 0.000
Dy Sc Ge Rh
1 1 1 1
direct
0.000 0.000 0.000
0.500 0.500 0.500
0.750 0.750 0.750
0.250 0.250 0.250

---

Entry 5:
Dy3Si2GeRh9 (PBE, optimized geometry); calculated density = 9.42 g/cm3; energy relative to the elements, uncorrected = -0.58 eV/atom; V = 18.13 A^3/atom
1.0
6.368 0.000 0.000
-3.184 5.515 0.000
0.000 0.000 7.741
Dy Si Ge Rh
3 2 1 9
direct
0.000 0.000 0.000
0.333 0.667 0.666
0.667 0.333 0.334
0.333 0.667 0.160
0.667 0.333 0.840
0.000 0.000 0.500
0.000 0.500 0.000
0.172 0.344 0.332
0.172 0.828 0.332
0.344 0.172 0.668
0.500 0.000 0.000
0.500 0.500 0.000
0.656 0.828 0.332
0.828 0.172 0.668
0.828 0.656 0.668

---

Entry 6:
Dy3SiGe2Rh9 (PBE, optimized geometry); calculated density = 9.46 g/cm3; energy relative to the elements, uncorrected = -0.48 eV/atom; V = 18.58 A^3/atom
1.0
6.454 0.000 0.000
-3.227 5.589 0.000
0.000 0.000 7.724
Dy Si Ge Rh
3 1 2 9
direct
0.000 0.000 0.000
0.333 0.667 0.671
0.667 0.333 0.329
0.000 0.000 0.500
0.333 0.667 0.177
0.667 0.333 0.823
0.000 0.500 0.000
0.157 0.314 0.327
0.157 0.843 0.327
0.314 0.157 0.673
0.500 0.000 0.000
0.500 0.500 0.000
0.686 0.843 0.327
0.843 0.157 0.673
0.843 0.686 0.673

---

Entry 7:
Dy2SiGe2Rh5 (PBE, optimized geometry); calculated density = 10.11 g/cm3; energy relative to the elements, uncorrected = -0.77 eV/atom; V = 16.64 A^3/atom
1.0
9.716 0.000 0.000
0.000 9.716 0.000
0.000 0.000 3.525
Dy Si Ge Rh
4 2 4 10
direct
0.174 0.326 0.000
0.326 0.826 0.000
0.674 0.174 0.000
0.826 0.674 0.000
0.000 0.000 0.000
0.500 0.500 0.000
0.126 0.626 0.000
0.374 0.126 0.000
0.626 0.874 0.000
0.874 0.374 0.000
0.000 0.500 0.500
0.064 0.799 0.500
0.201 0.064 0.500
0.299 0.564 0.500
0.436 0.299 0.500
0.500 0.000 0.500
0.564 0.701 0.500
0.701 0.436 0.500
0.799 0.936 0.500
0.936 0.201 0.500

---

Entry 8:
DySiGeRh2 (PBE, optimized geometry); calculated density = 7.27 g/cm3; energy relative to the elements, uncorrected = -0.59 eV/atom; V = 21.43 A^3/atom
1.0
4.125 0.000 0.000
0.000 4.125 0.000
0.000 0.000 6.295
Dy Si Ge Rh
1 1 1 2
direct
0.000 0.000 0.000
0.000 0.000 0.540
0.500 0.500 0.130
0.000 0.500 0.356
0.500 0.000 0.356

---

Entry 9:
Dy2SiGeRh6 (PBE, optimized geometry); calculated density = 9.44 g/cm3; energy relative to the elements, uncorrected = -0.53 eV/atom; V = 18.34 A^3/atom
1.0
0.000 4.510 4.510
4.510 0.000 4.510
4.510 4.510 0.000
Dy Si Ge Rh
2 1 1 6
direct
0.250 0.250 0.250
0.750 0.750 0.750
0.000 0.000 0.000
0.500 0.500 0.500
0.245 0.245 0.755
0.245 0.755 0.245
0.245 0.755 0.755
0.755 0.245 0.245
0.755 0.245 0.755
0.755 0.755 0.245

---

Entry 10:
Sm2DyGe3Rh4 (PBE, optimized geometry); E_form = -0.881 eV per atom; calculated density = 9.32 g/cm3; V = 19.48 A^3/atom
1.0
4.171 0.000 0.000
0.000 4.171 0.000
0.000 0.000 11.200
Sm Dy Ge Rh
2 1 3 4
direct
0.000 0.500 0.228
0.500 0.000 0.772
0.000 0.000 0.500
0.000 0.500 0.878
0.500 0.000 0.122
0.500 0.500 0.500
0.000 0.000 0.000
0.000 0.500 0.659
0.500 0.000 0.341
0.500 0.500 0.000

---

Entry 11:
DySnGeRh2 (PBE, optimized geometry); E_form = -0.605 eV per atom; calculated density = 9.13 g/cm3; V = 20.35 A^3/atom
1.0
2.225 -6.655 0.000
2.225 6.655 0.000
0.000 0.000 6.873
Dy Sn Ge Rh
2 2 2 4
direct
0.129 0.871 0.750
0.871 0.129 0.250
0.173 0.827 0.250
0.827 0.173 0.750
0.500 0.500 0.000
0.500 0.500 0.500
0.322 0.678 0.527
0.322 0.678 0.973
0.678 0.322 0.027
0.678 0.322 0.473

---

Entry 12:
Dy2SnGe2Rh5 (PBE, optimized geometry); E_form = -0.824 eV per atom; calculated density = 10.48 g/cm3; V = 17.49 A^3/atom
1.0
9.782 0.000 0.000
0.000 9.782 0.000
0.000 0.000 3.656
Dy Sn Ge Rh
4 2 4 10
direct
0.175 0.325 0.000
0.325 0.825 0.000
0.675 0.175 0.000
0.825 0.675 0.000
0.000 0.000 0.000
0.500 0.500 0.000
0.123 0.623 0.000
0.377 0.123 0.000
0.623 0.877 0.000
0.877 0.377 0.000
0.000 0.500 0.500
0.069 0.788 0.500
0.212 0.069 0.500
0.288 0.569 0.500
0.431 0.288 0.500
0.500 0.000 0.500
0.569 0.712 0.500
0.712 0.431 0.500
0.788 0.931 0.500
0.931 0.212 0.500

---

Entry 13:
TbDyGeRh (PBE, optimized geometry); E_form = -0.729 eV per atom; calculated density = 9.56 g/cm3; V = 21.59 A^3/atom
1.0
0.000 3.508 3.508
3.508 0.000 3.508
3.508 3.508 0.000
Tb Dy Ge Rh
1 1 1 1
direct
0.000 0.000 0.000
0.500 0.500 0.500
0.250 0.250 0.250
0.750 0.750 0.750

---

Entry 14:
TbDy2Ge2Rh5 (PBE, optimized geometry); E_form = -0.858 eV per atom; calculated density = 10.43 g/cm3; V = 18.22 A^3/atom
1.0
9.954 0.000 0.000
0.000 9.954 0.000
0.000 0.000 3.677
Tb Dy Ge Rh
2 4 4 10
direct
0.000 0.000 0.000
0.500 0.500 0.000
0.173 0.327 0.000
0.327 0.827 0.000
0.673 0.173 0.000
0.827 0.673 0.000
0.123 0.623 0.000
0.377 0.123 0.000
0.623 0.877 0.000
0.877 0.377 0.000
0.000 0.500 0.500
0.070 0.783 0.500
0.217 0.070 0.500
0.283 0.570 0.500
0.430 0.283 0.500
0.500 0.000 0.500
0.570 0.717 0.500
0.717 0.430 0.500
0.783 0.930 0.500
0.930 0.217 0.500

---

Entry 15:
TbDyGeRh (PBE, optimized geometry); E_form = -0.866 eV per atom; calculated density = 9.23 g/cm3; V = 22.35 A^3/atom
1.0
4.138 0.000 0.000
0.000 2.031 5.319
0.000 -2.031 5.319
Tb Dy Ge Rh
1 1 1 1
direct
0.000 0.000 0.000
0.500 0.280 0.280
0.000 0.714 0.714
0.500 0.558 0.558

---

Entry 16:
DyTcGe2Rh (PBE, optimized geometry); E_form = -0.672 eV per atom; calculated density = 9.29 g/cm3; V = 18.18 A^3/atom
1.0
-2.140 2.140 4.962
2.140 -2.140 4.962
2.140 2.140 -4.962
Dy Tc Ge Rh
1 1 2 1
direct
0.000 0.000 0.000
0.750 0.250 0.500
0.372 0.372 0.000
0.628 0.628 0.000
0.250 0.750 0.500

---

Entry 17:
DyTh2Ge3Rh4 (PBE, optimized geometry); E_form = -0.891 eV per atom; calculated density = 10.56 g/cm3; V = 19.76 A^3/atom
1.0
4.156 0.000 0.000
0.000 4.156 0.000
0.000 0.000 11.440
Dy Th Ge Rh
1 2 3 4
direct
0.000 0.000 0.000
0.000 0.500 0.730
0.500 0.000 0.270
0.000 0.500 0.380
0.500 0.000 0.620
0.500 0.500 0.000
0.000 0.000 0.500
0.000 0.500 0.165
0.500 0.000 0.835
0.500 0.500 0.500

---

Entry 18:
DyThGe2Rh5 (PBE, optimized geometry); E_form = -0.847 eV per atom; calculated density = 10.92 g/cm3; V = 17.81 A^3/atom
1.0
4.201 0.000 0.000
0.000 4.201 0.000
0.000 0.000 9.079
Dy Th Ge Rh
1 1 2 5
direct
0.000 0.000 0.000
0.000 0.000 0.500
0.500 0.500 0.139
0.500 0.500 0.861
0.000 0.500 0.268
0.000 0.500 0.732
0.500 0.000 0.268
0.500 0.000 0.732
0.500 0.500 0.500

---

Entry 19:
Dy2TiGe3Rh4 (PBE, optimized geometry); E_form = -0.887 eV per atom; calculated density = 9.28 g/cm3; V = 17.94 A^3/atom
1.0
4.082 0.000 0.000
0.000 4.082 0.000
0.000 0.000 10.764
Dy Ti Ge Rh
2 1 3 4
direct
0.000 0.500 0.240
0.500 0.000 0.760
0.000 0.000 0.500
0.000 0.500 0.870
0.500 0.000 0.130
0.500 0.500 0.500
0.000 0.000 0.000
0.000 0.500 0.643
0.500 0.000 0.357
0.500 0.500 0.000

---

Entry 20:
DyTm2Ge2Rh5 (PBE, optimized geometry); E_form = -0.877 eV per atom; calculated density = 10.77 g/cm3; V = 17.88 A^3/atom
1.0
9.883 0.000 0.000
0.000 9.883 0.000
0.000 0.000 3.662
Dy Tm Ge Rh
2 4 4 10
direct
0.000 0.000 0.000
0.500 0.500 0.000
0.173 0.327 0.000
0.327 0.827 0.000
0.673 0.173 0.000
0.827 0.673 0.000
0.124 0.624 0.000
0.376 0.124 0.000
0.624 0.876 0.000
0.876 0.376 0.000
0.000 0.500 0.500
0.070 0.784 0.500
0.216 0.070 0.500
0.284 0.570 0.500
0.430 0.284 0.500
0.500 0.000 0.500
0.570 0.716 0.500
0.716 0.430 0.500
0.784 0.930 0.500
0.930 0.216 0.500